(1)
A plane-wave DFT calculation with PBE was carried out for Pr2DyYEr after structural relaxation.

a = 7.3026 Å, b = 8.4091 Å, c = 7.1835 Å
α = 125.82°, β = 90.00°, γ = 90.00°
Fractional positions:
Pr 0.5000 0.3049 0.0000
Pr 0.0000 0.6951 0.0000
Pr 0.5000 0.6951 0.0000
Pr 0.0000 0.3049 0.0000
Dy 0.2500 0.9712 0.9425
Dy 0.7500 0.0288 0.0575
Y 0.7500 0.7459 0.4918
Y 0.2500 0.2541 0.5082
Er 0.2500 0.7101 0.4202
Er 0.7500 0.2899 0.5798

**Energy relative to the elements**: 419 meV per atom
**Space-group type**: Cmcm (63)


(2)
A plane-wave DFT calculation with PBE was carried out for ErGa2NiPt4 after structural relaxation.

a = 4.3345 Å, b = 4.3345 Å, c = 8.4842 Å
α = 75.20°, β = 75.20°, γ = 60.00°
Fractional positions:
Er 0.0000 0.0000 0.0000
Ga 0.7581 0.7581 0.7256
Ga 0.2419 0.2419 0.2744
Ni 0.5000 0.5000 0.5000
Pt 0.3973 0.3973 0.8081
Pt 0.8704 0.8704 0.3888
Pt 0.1296 0.1296 0.6112
Pt 0.6027 0.6027 0.1919

**Energy relative to the elements**: -700 meV per atom
**Space-group type**: R-3m (166)


(3)
A plane-wave DFT calculation with PBE was carried out for AlInAu3 after structural relaxation.

a = 4.9374 Å, b = 4.9374 Å, c = 4.9374 Å
α = 90.00°, β = 90.00°, γ = 90.00°
Fractional positions:
Au 0.0000 0.5000 0.0000
Au 0.0000 0.0000 0.5000
Au 0.5000 0.0000 0.0000
Al 0.0000 0.0000 0.0000
In 0.5000 0.5000 0.5000

**Energy relative to the elements**: 92 meV per atom
**Space-group type**: Pm-3m (221)
**Energy relative to the lowest polymorph listed for this composition**: 337.8 meV per atom


(4)
A plane-wave DFT calculation with PBE was carried out for BaBePt2Cl after structural relaxation.

a = 5.2593 Å, b = 5.2593 Å, c = 3.9347 Å
α = 90.00°, β = 90.00°, γ = 90.00°
Fractional positions:
Be 0.0000 0.0000 0.5000
Ba 0.5000 0.5000 0.5000
Pt 0.0000 0.5000 0.0000
Pt 0.5000 0.0000 0.0000
Cl 0.0000 0.0000 0.0000

**Energy relative to the elements, uncorrected**: 374.9 meV/atom
**Space-group type**: P4/mmm (123)